# 1
Below is a relaxed PaAgB crystal, with properties calculated at the PBE level.

Computed properties:
Its space group is Cmcm (63). The calculation puts the volume at 17.27 Å³/atom. The value obtained for the raw total energy is -6.6019 eV per atom.

a = 3.467 Å, b = 19.236 Å, c = 3.108 Å
α = 90.00°, β = 90.00°, γ = 90.00°
Positions (direct):
Pa (0.000, 0.085, 0.250)
Pa (0.000, 0.915, 0.750)
Pa (0.500, 0.415, 0.750)
Pa (0.500, 0.585, 0.250)
Ag (0.000, 0.294, 0.250)
Ag (0.000, 0.706, 0.750)
Ag (0.500, 0.206, 0.750)
Ag (0.500, 0.794, 0.250)
B (0.000, 0.481, 0.250)
B (0.000, 0.519, 0.750)
B (0.500, 0.019, 0.750)
B (0.500, 0.981, 0.250)

# 2
Below is a relaxed KNiPb2 crystal, with properties calculated at the PBE level.

Computed properties:
Its space group is Cmmm (65). The calculation puts the volume at 26.72 Å³/atom. The value obtained for the raw total energy is -3.1002 eV per atom.

a = 6.537 Å, b = 9.897 Å, c = 3.304 Å
α = 90.00°, β = 90.00°, γ = 90.00°
Positions (direct):
K (0.000, 0.000, 0.000)
K (0.500, 0.500, 0.000)
Ni (0.000, 0.500, 0.000)
Ni (0.500, 0.000, 0.000)
Pb (0.250, 0.250, 0.500)
Pb (0.250, 0.750, 0.500)
Pb (0.750, 0.250, 0.500)
Pb (0.750, 0.750, 0.500)

# 3
Below is a relaxed MoHPb3 crystal, with properties calculated at the PBE level.

Computed properties:
Its space group is Pm-3m (221). The calculation puts the volume at 30.95 Å³/atom. The value obtained for the offset from the most stable computed form is 3.0 meV per atom. The value obtained for the raw total energy is -4.2921 eV per atom.

a = 5.369 Å, b = 5.369 Å, c = 5.369 Å
α = 90.00°, β = 90.00°, γ = 90.00°
Positions (direct):
Mo (0.000, 0.000, 0.000)
H (0.500, 0.500, 0.500)
Pb (0.000, 0.000, 0.500)
Pb (0.000, 0.500, 0.000)
Pb (0.500, 0.000, 0.000)